DFT (GGA-PBE) results for a relaxed structure of MnCu3.

```
MnCu3
1.0
2.555 0.000 0.000
0.000 4.257 0.000
-0.449 0.000 4.618
Mn Cu
1 3
direct
0.000 0.000 0.000
0.272 0.500 0.746
0.500 0.000 0.500
0.728 0.500 0.254
```

Calculated values
density of states at the Fermi level = 1.58 states/eV/cell
space group = P2/m
formation energy from the elements = 0.142 eV per atom

***

DFT (GGA-PBE) results for a relaxed structure of MnCu3.

```
MnCu3
1.0
4.671 0.000 0.000
0.000 4.671 0.000
0.000 0.000 4.671
Mn Cu
2 6
direct
0.000 0.000 0.000
0.500 0.500 0.500
0.000 0.250 0.500
0.000 0.750 0.500
0.250 0.500 0.000
0.500 0.000 0.250
0.500 0.000 0.750
0.750 0.500 0.000
```

Calculated values
density of states at the Fermi level = 1.18 states/eV/cell
space group = Pm-3n
formation energy from the elements = 0.111 eV per atom

***

DFT (GGA-PBE) results for a relaxed structure of Mn5Cu.

```
Mn5Cu
1.0
1.726 -5.577 0.000
1.726 5.577 0.000
0.000 0.000 3.573
Mn Cu
5 1
direct
0.000 0.000 0.000
0.169 0.831 0.500
0.335 0.665 0.000
0.665 0.335 0.000
0.831 0.169 0.500
0.500 0.500 0.500
```

Calculated values
density of states at the Fermi level = 6.57 states/eV/cell
space group = Cmmm
formation energy from the elements = 0.163 eV per atom
energy relative to the lowest polymorph listed for this composition = 0.018 eV per atom

***

DFT (GGA-PBE) results for a relaxed structure of Mn2Cu.

```
Mn2Cu
1.0
-1.232 1.814 3.713
1.232 -1.814 3.713
1.232 1.814 -3.713
Mn Cu
2 1
direct
0.169 0.169 0.000
0.831 0.831 0.000
0.500 0.500 0.000
```

Calculated values
density of states at the Fermi level = 3.13 states/eV/cell
space group = Immm
formation energy from the elements = 0.243 eV per atom

***

no.,M_tot (μB per atom)
1,0.93
2,1.00
3,0.59
4,0.00